DFT (SCAN) results for CuNi2Te at its PBEsol-relaxed geometry.

a = 3.2234 Å, b = 3.2234 Å, c = 5.2079 Å
α = 90.00°, β = 90.00°, γ = 90.00°
Last column: nearest neighbours and their distance in Å.
Positions (direct):
Cu1 0.0000 0.0000 0.0000  8 Ni 2.59, 2 Te 2.60
Ni1 0.5000 0.5000 0.2367  2 Ni 2.47-2.74, 4 Cu 2.59, 4 Te 2.66
Ni2 0.5000 0.5000 0.7633  2 Ni 2.47-2.74, 4 Cu 2.59, 4 Te 2.66
Te1 0.0000 0.0000 0.5000  2 Cu 2.60, 8 Ni 2.66

## Properties
DFT total energy in eV per atom: -21.013
Total moment in μB per formula unit: 0.0
Symmetry: No. 123
E_form (uncorrected) in eV per atom: 0.1861